First-principles (GGA-PBE) data for an optimized crystal structure of CsYInSe, as listed in the Alexandria database.

Lattice parameters (Å, degrees): 4.0717 4.0717 9.9580 90.00 90.00 120.00
With the nearest neighbours (Å) after each atom.
Element x y z (fractional)
Se 0.0000 0.0000 0.8082  3 Y 2.85
In 0.6667 0.3333 0.4105  3 Y 3.33
Cs 0.3333 0.6667 0.0829  3 Se 3.61, 3 In 4.02
Y 0.3333 0.6667 0.6473  3 Se 2.85

Computed properties:
- V (A^3/atom) = 35.74
- total magnetization (Bohr magnetons per cell) = 0.3
- E_form (uncorrected) (eV/f.u.) = -3.11
- total energy (Ha/atom) = -0.153